(1)
Li2ZnCl4 PBE relaxed; symmetry = I-42m, No. 121; energy = -23.2 eV per formula unit
1.0
-2.823 2.823 5.143
2.823 -2.823 5.143
2.823 2.823 -5.143
Cl Li Zn
4 2 1
Direct
0.612 0.138 0.000 Cl
0.138 0.612 0.000 Cl
0.862 0.862 0.474 Cl
0.388 0.388 0.526 Cl
0.750 0.250 0.500 Li
0.250 0.750 0.500 Li
0.500 0.500 0.000 Zn



(2)
TbSmBr2NCl PBE relaxed; symmetry = C2/m, No. 12; energy above the most stable polymorph in this dataset = 0.0121 eV/atom
1.0
-4.014 6.002 -5.180
-2.512 3.471 -7.785
-5.656 -8.355 4.855
Br Cl N Sm Tb
4 2 2 2 2
Direct
0.045 0.045 0.241 Br
0.775 0.775 0.379 Br
0.225 0.225 0.621 Br
0.955 0.955 0.759 Br
0.669 0.669 0.009 Cl
0.331 0.331 0.991 Cl
0.426 0.426 0.346 N
0.574 0.574 0.654 N
0.862 0.862 0.207 Sm
0.138 0.138 0.793 Sm
0.580 0.580 0.457 Tb
0.420 0.420 0.543 Tb



(3)
Zr2TaIr PBE relaxed; symmetry = F-43m, No. 216; DFT formation energy = -0.30 eV/atom
1.0
3.166 3.269 1.195
-0.274 2.120 4.192
3.202 -0.928 3.320
Ir Ta Zr
1 1 2
Direct
0.500 0.500 0.500 Ir
0.750 0.750 0.750 Ta
0.000 0.000 0.000 Zr
0.250 0.250 0.250 Zr



(4)
SnPbAu PBE relaxed; symmetry = F-43m, No. 216; energy = -10.6 eV per formula unit
1.0
0.000 3.497 3.497
3.497 0.000 3.497
3.497 3.497 0.000
Au Pb Sn
1 1 1
Direct
0.250 0.250 0.250 Au
0.750 0.750 0.750 Pb
0.000 0.000 0.000 Sn



(5)
Ba2Si7Ni3 PBE relaxed; symmetry = P-62m, No. 189; energy = -57.2 eV per formula unit
1.0
-5.873 6.721 -1.674
1.105 -3.057 8.479
2.682 2.479 0.544
Ba Ni Si
2 3 7
Direct
0.667 0.333 0.000 Ba
0.333 0.667 0.000 Ba
0.165 0.000 0.500 Ni
0.000 0.165 0.500 Ni
0.835 0.835 0.500 Ni
0.000 0.000 0.000 Si
0.750 0.000 0.000 Si
0.250 0.250 0.000 Si
0.000 0.750 0.000 Si
0.596 0.000 0.500 Si
0.404 0.404 0.500 Si
0.000 0.596 0.500 Si



(6)
KHfZrS3 PBE relaxed; symmetry = Cmcm, No. 63; energy = -40.2 eV per formula unit
1.0
1.962 -7.412 0.000
1.962 7.412 0.000
0.000 0.000 9.972
Hf K S Zr
2 2 6 2
Direct
0.519 0.481 0.250 Hf
0.481 0.519 0.750 Hf
0.246 0.754 0.250 K
0.754 0.246 0.750 K
0.618 0.382 0.053 S
0.918 0.082 0.250 S
0.618 0.382 0.447 S
0.382 0.618 0.553 S
0.082 0.918 0.750 S
0.382 0.618 0.947 S
0.000 0.000 0.000 Zr
0.000 0.000 0.500 Zr